A relaxed Dy3Zn8Cu3 crystal. Source: the Alexandria database, functional PBE-GGA.

The value obtained for the spin magnetization is 0.00 μB/f.u. The value obtained for the formation energy is -0.291 eV/atom. The calculation puts the energy at -2.883 eV/atom.

The structure belongs to space group Immm (No. 71); the cell edges are 4.335, 8.788 and 12.736 Å and the angles 90.00°, 90.00° and 90.00°. Symmetry generates all atoms from Dy at (0.000, 0.000, 0.000), Dy at (0.000, 0.000, 0.298), Zn at (0.000, 0.288, 0.128), Zn at (0.000, 0.357, 0.341), Cu at (0.000, 0.180, 0.500) and Cu at (0.000, 0.500, 0.000).